No. 1
Density functional theory data (PBE-GGA) for crystalline PmYSeO2 at its relaxed geometry.

Raw formation energy, eV/atom: -3.053
Total magnetic moment, μB per atom: 0.00
Uncorrected energy, eV/atom: -7.976
DOS at the Fermi energy, states/eV/f.u.: 0.00
V, Å³/atom: 19.8

```
PmYSeO2
1.0
4.0803 0.0000 0.0000
0.0000 6.5826 -0.3983
0.0000 -1.9039 7.4954
Pm Y Se O
2 2 2 4
Cartesian
1.0201 2.7564 6.6697 Pm
3.0603 1.9224 0.4274 Pm
1.0201 3.6433 2.8648 Y
3.0603 1.0354 4.2323 Y
1.0201 -1.1268 5.6375 Se
3.0603 5.8055 1.4596 Se
3.0603 2.6457 2.6734 O
1.0201 2.0331 4.4237 O
3.0603 1.7448 6.3443 O
1.0201 2.9340 0.7528 O
```



No. 2
Density functional theory data (PBE-GGA) for crystalline Ba2Si2Sb at its relaxed geometry.

Raw formation energy, eV/atom: -0.399
Total magnetic moment, μB per atom: 0.00
Uncorrected energy, eV/atom: -4.161
DOS at the Fermi energy, states/eV/f.u.: 2.49
V, Å³/atom: 31.2

```
Ba2Si2Sb
1.0
7.9491 0.0000 0.0000
0.0000 7.9491 0.0000
0.0000 0.0000 4.9396
Sb Si Ba
2 4 4
Cartesian
0.0000 0.0000 0.0000 Sb
3.9746 3.9746 0.0000 Sb
3.1377 7.1122 0.0000 Si
7.1122 4.8115 0.0000 Si
4.8115 0.8369 0.0000 Si
0.8369 3.1377 0.0000 Si
1.4694 5.4439 2.4698 Ba
5.4439 6.4798 2.4698 Ba
6.4798 2.5052 2.4698 Ba
2.5052 1.4694 2.4698 Ba
```